--- one ---
Entry from the Alexandria database: an optimized crystal structure of KCrCu (GGA-PBE).

The structure belongs to space group P3m1 (No. 156); the cell edges are 3.4487, 3.4487 and 7.3112 Å and the angles 90.00°, 90.00° and 120.00°. The inequivalent atoms are K at (0.0000, 0.0000, 0.0000), Cr at (0.6667, 0.3333, 0.4189) and Cu at (0.3333, 0.6667, 0.6374).

The calculation puts the total magnetic moment at 1.4910 μB per atom. The calculation puts the density at 3410 kg/m³.

=====

--- two ---
Entry from the Alexandria database: an optimized crystal structure of KCrCu (GGA-PBE).

The structure belongs to space group F-43m (No. 216); the cell edges are 7.374, 7.374 and 7.374 Å and the angles 90.00°, 90.00° and 90.00°. The inequivalent atoms are K at (0.000, 0.000, 0.000), Cr at (0.250, 0.250, 0.750) and Cu at (0.250, 0.250, 0.250).

The calculation puts the total magnetic moment at 1.8514 μB per atom. The calculation puts the density at 2561 kg/m³.

=====

Most favorable first, least favorable last: one, two

=====

--- one ---
Entry from the Alexandria database: an optimized crystal structure of KCrCu (GGA-PBE).

The structure belongs to space group I4mm (No. 107); the cell edges are 3.487, 3.487 and 12.290 Å and the angles 90.00°, 90.00° and 90.00°. The inequivalent atoms are K at (0.000, 0.000, 0.000), Cr at (0.000, 0.000, 0.728) and Cu at (0.000, 0.000, 0.286).

The calculation puts the total magnetic moment at 1.4722 μB per atom. The calculation puts the density at 3437 kg/m³.

=====

--- two ---
Entry from the Alexandria database: an optimized crystal structure of KCrCu (GGA-PBE).

The structure belongs to space group F-43m (No. 216); the cell edges are 7.000, 7.000 and 7.000 Å and the angles 90.00°, 90.00° and 90.00°. The inequivalent atoms are K at (0.000, 0.000, 0.000), Cr at (0.000, 0.000, 0.500) and Cu at (0.250, 0.250, 0.250).

The calculation puts the total magnetic moment at 1.6969 μB per atom. The calculation puts the density at 2994 kg/m³.

=====

Most favorable first, least favorable last: one, two

=====

--- one ---
Entry from the Alexandria database: an optimized crystal structure of LaCrCu2 (GGA-PBE).

The structure belongs to space group F-43m (No. 216); the cell edges are 6.678, 6.678 and 6.678 Å and the angles 90.00°, 90.00° and 90.00°. The inequivalent atoms are La at (0.000, 0.000, 0.000), Cr at (0.250, 0.250, 0.750), Cu at (0.000, 0.000, 0.500) and Cu at (0.250, 0.250, 0.250).

The calculation puts the total magnetic moment at 0.8971 μB per atom. The calculation puts the density at 7092 kg/m³.

=====

--- two ---
Entry from the Alexandria database: an optimized crystal structure of LaCrCu2 (GGA-PBE).

The structure belongs to space group Pmmm (No. 47); the cell edges are 3.277, 3.297 and 6.816 Å and the angles 90.00°, 90.00° and 90.00°. The inequivalent atoms are La at (0.000, 0.000, 0.000), Cr at (0.000, 0.000, 0.500) and Cu at (0.500, 0.500, 0.313).

The calculation puts the total magnetic moment at 0.9483 μB per atom. The calculation puts the density at 7171 kg/m³.

=====

Most favorable first, least favorable last: two, one

=====

--- one ---
Entry from the Alexandria database: an optimized crystal structure of La2CrCu (GGA-PBE).

The structure belongs to space group I-42d (No. 122); the cell edges are 7.737, 7.737 and 6.062 Å and the angles 90.00°, 90.00° and 90.00°. The inequivalent atoms are La at (0.205, 0.250, 0.125), Cr at (0.000, 0.000, 0.000) and Cu at (0.000, 0.000, 0.500).

The calculation puts the total magnetic moment at 0.0001 μB per atom. The calculation puts the density at 7199 kg/m³.

=====

--- two ---
Entry from the Alexandria database: an optimized crystal structure of La2CrCu (GGA-PBE).

The structure belongs to space group Pm (No. 6); the cell edges are 3.895, 4.729 and 5.938 Å and the angles 90.00°, 108.78° and 90.00°. The inequivalent atoms are La at (0.000, 0.000, 0.000), La at (0.284, 0.500, 0.576), Cr at (0.578, 0.500, 0.156) and Cu at (0.703, 0.000, 0.413).

The calculation puts the total magnetic moment at 0.8109 μB per atom. The calculation puts the density at 6309 kg/m³.

=====

--- three ---
Entry from the Alexandria database: an optimized crystal structure of La2CrCu (GGA-PBE).

The structure belongs to space group I-4m2 (No. 119); the cell edges are 4.436, 4.436 and 9.865 Å and the angles 90.00°, 90.00° and 90.00°. The inequivalent atoms are La at (0.000, 0.000, 0.000), La at (0.000, 0.500, 0.250), Cr at (0.000, 0.500, 0.750) and Cu at (0.000, 0.000, 0.500).

The calculation puts the total magnetic moment at 0.8383 μB per atom. The calculation puts the density at 6730 kg/m³.

=====

Most favorable first, least favorable last: two, three, one